BaLi2Cr: relaxed, PBE.

Structure (CIF):
```
data_BaLi2Cr
_space_group_name_H-M_alt 'P 4/m m m'
_space_group_IT_number 123
_space_group_name_Hall '-P 4 2'
_cell_length_a 4.7864
_cell_length_b 4.7864
_cell_length_c 5.2216
_cell_angle_alpha 90.00
_cell_angle_beta 90.00
_cell_angle_gamma 90.00
loop_
_atom_site_label
_atom_site_type_symbol
_atom_site_fract_x
_atom_site_fract_y
_atom_site_fract_z
Ba1 Ba 0.0000 0.0000 0.0000
Li1 Li 0.0000 0.5000 0.5000
Cr1 Cr 0.5000 0.5000 0.0000
```

Output
The energy relative to the elements comes out at 216 kJ/mol of formula units.

---

BaLiCr2: relaxed, PBE.

Structure (CIF):
```
data_BaLiCr2
_space_group_name_H-M_alt 'P 4 m m'
_space_group_IT_number 99
_cell_length_a 3.3154
_cell_length_b 3.3154
_cell_length_c 8.3976
_cell_angle_alpha 90.00
_cell_angle_beta 90.00
_cell_angle_gamma 90.00
loop_
_space_group_symop_operation_xyz
'x,y,z'
'-y,x,z'
'-x,-y,z'
'y,-x,z'
'-x,y,z'
'y,x,z'
'x,-y,z'
'-y,-x,z'
loop_
_atom_site_label
_atom_site_type_symbol
_atom_site_fract_x
_atom_site_fract_y
_atom_site_fract_z
Ba1 Ba 0.0000 0.0000 0.0000
Li1 Li 0.5000 0.5000 0.6434
Cr1 Cr 0.0000 0.0000 0.4260
Cr2 Cr 0.5000 0.5000 0.3189
```

Output
The energy relative to the elements comes out at 226 kJ/mol of formula units.

---

BaLi2Cr2: relaxed, PBE.

Structure (CIF):
```
data_BaLi2Cr2
_space_group_name_H-M_alt 'I 4/m m m'
_space_group_IT_number 139
_space_group_name_Hall '-I 4 2'
_cell_length_a 3.2342
_cell_length_b 3.2342
_cell_length_c 21.5984
_cell_angle_alpha 90.00
_cell_angle_beta 90.00
_cell_angle_gamma 90.00
loop_
_atom_site_label
_atom_site_type_symbol
_atom_site_fract_x
_atom_site_fract_y
_atom_site_fract_z
Ba1 Ba 0.0000 0.0000 0.0000
Li1 Li 0.0000 0.0000 0.3588
Cr1 Cr 0.0000 0.5000 0.2500
```

Output
The energy relative to the elements comes out at 356 kJ/mol of formula units.

---

BaLi2Cr: relaxed, PBE.

Structure (CIF):
```
data_BaLi2Cr
_space_group_name_H-M_alt 'I -4 m 2'
_space_group_IT_number 119
_space_group_name_Hall 'I -4 -2'
_cell_length_a 5.1302
_cell_length_b 5.1302
_cell_length_c 8.9379
_cell_angle_alpha 90.00
_cell_angle_beta 90.00
_cell_angle_gamma 90.00
loop_
_atom_site_label
_atom_site_type_symbol
_atom_site_fract_x
_atom_site_fract_y
_atom_site_fract_z
Ba1 Ba 0.0000 0.0000 0.0000
Li1 Li 0.0000 0.0000 0.5000
Li2 Li 0.0000 0.5000 0.2500
Cr1 Cr 0.0000 0.5000 0.7500
```

Output
The energy relative to the elements comes out at 196 kJ/mol of formula units.